Record 1
This record from Alexandria describes a relaxed structure of Th2Tc2B2C. The functional is GGA-PBE.

Calculated values
As for the total DFT energy (no corrections): -60.7 eV for the cell shown. Its total magnetic moment is 0.0 Bohr magnetons per cell.

```
7
Lattice="5.549 -1.826 0.000 5.549 1.826 0.000 -3.885 0.000 5.625" Properties=species:S:1:pos:R:3 pbc="T T T"
Th -0.547 0.000 1.840
Th 7.760 0.000 3.785
Tc -0.231 0.000 5.075
Tc 7.444 0.000 0.550
B 2.598 0.000 1.463
B 4.615 0.000 4.162
C 5.549 0.000 0.000
```

Record 2
This record from Alexandria describes a relaxed structure of Mg5V2Pd12. The functional is GGA-PBE.

Calculated values
As for the total DFT energy (no corrections): -94.2 eV for the cell shown. Its total magnetic moment is 0.0 Bohr magnetons per cell.

```
19
Lattice="7.623 -2.964 0.000 7.623 2.964 0.000 -1.220 0.000 7.038" Properties=species:S:1:pos:R:3 pbc="T T T"
Mg 0.000 0.000 0.000
Mg 3.718 0.000 0.123
Mg 3.763 0.000 3.902
Mg 10.263 0.000 3.136
Mg 10.307 0.000 6.914
V 7.013 1.227 3.519
V 7.013 -1.227 3.519
Pd 4.939 1.521 1.945
Pd 1.096 0.000 2.840
Pd 4.549 1.352 6.173
Pd 9.087 1.521 5.092
Pd 9.477 1.352 0.864
Pd 7.125 0.000 1.283
Pd 6.901 0.000 5.755
Pd 4.549 -1.352 6.173
Pd 4.939 -1.521 1.945
Pd 9.477 -1.352 0.864
Pd 12.929 0.000 4.198
Pd 9.087 -1.521 5.092
```

Record 3
This record from Alexandria describes a relaxed structure of ZnAg2P. The functional is GGA-PBE.

Calculated values
As for the total DFT energy (no corrections): -11.6 eV for the cell shown. Its total magnetic moment is 0.0 Bohr magnetons per cell.

```
4
Lattice="2.970 0.000 0.000 0.000 3.901 0.000 0.000 0.000 5.726" Properties=species:S:1:pos:R:3 pbc="T T T"
Zn 0.000 0.000 0.000
Ag 1.485 1.950 1.412
Ag 1.485 1.950 4.314
P 0.000 0.000 2.863
```

Record 4
This record from Alexandria describes a relaxed structure of Zn3CdPt6. The functional is GGA-PBE.

Calculated values
As for the total DFT energy (no corrections): -90.5 eV for the cell shown. Its total magnetic moment is 0.0 Bohr magnetons per cell.

```
20
Lattice="8.484 0.000 0.000 0.000 4.084 0.000 -0.639 0.000 8.900" Properties=species:S:1:pos:R:3 pbc="T T T"
Zn 0.197 1.021 3.522
Zn 1.174 3.063 1.679
Zn 1.495 1.021 8.731
Zn 6.350 3.063 0.168
Zn 6.671 1.021 7.221
Zn 7.648 3.063 5.378
Cd 3.391 1.021 5.354
Cd 4.454 3.063 3.546
Pt -0.266 3.063 7.992
Pt 0.638 1.021 6.177
Pt 1.626 3.063 4.355
Pt 2.650 1.021 2.504
Pt 2.396 3.063 7.086
Pt 3.706 3.063 0.820
Pt 4.139 1.021 8.080
Pt 5.449 1.021 1.814
Pt 5.196 3.063 6.396
Pt 6.219 1.021 4.545
Pt 7.208 3.063 2.723
Pt 8.111 1.021 0.908
```

Record 5
This record from Alexandria describes a relaxed structure of SrLiPb4. The functional is GGA-PBE.

Calculated values
As for the total DFT energy (no corrections): -40.3 eV for the cell shown. Its total magnetic moment is 0.0 Bohr magnetons per cell.

```
12
Lattice="2.507 -9.534 0.000 2.507 9.534 0.000 0.000 0.000 7.434" Properties=species:S:1:pos:R:3 pbc="T T T"
Sr 2.507 7.253 5.575
Sr 2.507 -7.253 1.858
Li 2.507 5.368 1.858
Li 2.507 -5.368 5.575
Pb 2.507 8.206 1.858
Pb 2.507 3.515 4.026
Pb 2.507 3.515 7.125
Pb 2.507 0.000 0.000
Pb 2.507 0.000 3.717
Pb 2.507 -3.515 0.309
Pb 2.507 -3.515 3.408
Pb 2.507 -8.206 5.575
```

Record 6
This record from Alexandria describes a relaxed structure of Na3TbNd2Te6. The functional is GGA-PBE.

Calculated values
Its total magnetic moment is 0.0 Bohr magnetons per cell. For the uncorrected formation energy, the calculation gives -1.33 eV/atom.

```
12
Lattice="3.909 -6.772 0.000 3.909 6.772 0.000 -2.609 0.000 7.575" Properties=species:S:1:pos:R:3 pbc="T T T"
Na 0.000 0.000 0.000
Na 3.909 2.285 0.000
Na 3.909 -2.285 0.000
Tb 2.604 0.000 3.788
Nd 2.604 4.519 3.788
Nd 2.604 -4.519 3.788
Te 1.328 2.214 1.992
Te 0.051 0.000 5.584
Te 1.328 -2.214 1.992
Te 3.881 2.214 5.583
Te 5.158 0.000 1.991
Te 3.881 -2.214 5.583
```

Record 7
This record from Alexandria describes a relaxed structure of MgNiRu2. The functional is GGA-PBE.

Calculated values
As for the total DFT energy (no corrections): -25.2 eV for the cell shown. Its total magnetic moment is 0.0 Bohr magnetons per cell.

```
4
Lattice="3.698 0.000 0.000 0.000 3.698 0.000 0.000 0.000 4.061" Properties=species:S:1:pos:R:3 pbc="T T T"
Mg 0.000 0.000 0.000
Ni 1.849 1.849 0.000
Ru 0.000 1.849 2.030
Ru 1.849 0.000 2.030
```

Record 8
This record from Alexandria describes a relaxed structure of AcNdSc. The functional is GGA-PBE.

Calculated values
As for the total DFT energy (no corrections): -14.7 eV for the cell shown. Its total magnetic moment is 0.0 Bohr magnetons per cell.

```
3
Lattice="5.756 0.000 0.000 -2.878 4.985 0.000 0.000 0.000 3.573" Properties=species:S:1:pos:R:3 pbc="T T T"
Ac 0.000 0.000 0.000
Nd 2.878 1.662 1.789
Sc 0.000 3.323 0.007
```

Record 9
This record from Alexandria describes a relaxed structure of YCuGe2. The functional is GGA-PBE.

Calculated values
As for the total DFT energy (no corrections): -20.4 eV for the cell shown. Its total magnetic moment is 0.0 Bohr magnetons per cell.

```
4
Lattice="0.000 3.376 3.376 3.376 0.000 3.376 3.376 3.376 0.000" Properties=species:S:1:pos:R:3 pbc="T T T"
Y 0.000 0.000 0.000
Cu 3.376 3.376 3.376
Ge 1.688 1.688 1.688
Ge 5.063 5.063 5.063
```

Record 10
This record from Alexandria describes a relaxed structure of TaPd2Rh. The functional is GGA-PBE.

Calculated values
As for the total DFT energy (no corrections): -62.6 eV for the cell shown. Its total magnetic moment is 0.0 Bohr magnetons per cell.

```
8
Lattice="5.572 0.000 0.000 0.000 3.976 0.000 -0.368 0.000 5.660" Properties=species:S:1:pos:R:3 pbc="T T T"
Ta 0.773 0.994 2.020
Ta 4.431 2.982 3.641
Pd 0.315 0.994 4.890
Pd 2.066 2.982 0.722
Pd 3.138 0.994 4.939
Pd 4.889 2.982 0.770
Rh 1.663 2.982 3.455
Rh 3.541 0.994 2.205
```

Record 11
This record from Alexandria describes a relaxed structure of RbCd2H6. The functional is GGA-PBE.

Calculated values
As for the total DFT energy (no corrections): -22.6 eV for the cell shown. Its total magnetic moment is 0.0 Bohr magnetons per cell.

```
9
Lattice="5.402 0.000 0.000 -2.701 4.678 0.000 0.000 0.000 5.651" Properties=species:S:1:pos:R:3 pbc="T T T"
Rb 0.000 0.000 0.000
Cd 0.000 3.119 2.826
Cd 2.701 1.559 2.826
H -1.350 2.339 0.392
H -1.350 2.339 5.259
H 2.701 0.000 0.392
H 2.701 0.000 5.259
H 1.350 2.339 0.392
H 1.350 2.339 5.259
```

Record 12
This record from Alexandria describes a relaxed structure of Tl4IrPt. The functional is GGA-PBE.

Calculated values
As for the total DFT energy (no corrections): -17.9 eV for the cell shown. Its total magnetic moment is 1.0 Bohr magnetons per cell.

```
6
Lattice="0.000 4.238 4.238 4.238 0.000 4.238 4.238 4.238 0.000" Properties=species:S:1:pos:R:3 pbc="T T T"
Tl 1.060 1.060 1.060
Tl 3.178 3.178 1.060
Tl 3.178 1.060 3.178
Tl 1.060 3.178 3.178
Ir 6.357 6.357 6.357
Pt 4.238 4.238 4.238
```

Record 13
This record from Alexandria describes a relaxed structure of CsCu3Re. The functional is GGA-PBE.

Calculated values
As for the total DFT energy (no corrections): -19.7 eV for the cell shown. Its total magnetic moment is 1.9 Bohr magnetons per cell.

```
5
Lattice="4.952 0.000 0.000 0.000 4.952 0.000 0.000 0.000 4.952" Properties=species:S:1:pos:R:3 pbc="T T T"
Cs 0.000 0.000 0.000
Cu 0.000 2.476 2.476
Cu 2.476 0.000 2.476
Cu 2.476 2.476 0.000
Re 2.476 2.476 2.476
```

Record 14
This record from Alexandria describes a relaxed structure of K3TaP3. The functional is GGA-PBE.

Calculated values
As for the total DFT energy (no corrections): -136.2 eV for the cell shown. Its total magnetic moment is 4.2 Bohr magnetons per cell.

```
28
Lattice="9.196 0.000 0.000 0.000 7.953 0.000 -1.019 0.000 12.794" Properties=species:S:1:pos:R:3 pbc="T T T"
K 0.310 0.995 1.769
K -0.199 2.982 8.166
K 2.365 5.579 10.163
K 2.874 6.350 3.766
K 2.597 1.637 11.934
K 3.106 2.339 5.537
K 5.072 5.613 7.257
K 5.581 6.316 0.860
K 5.304 1.602 9.027
K 5.813 2.374 2.631
K 8.377 4.971 4.628
K 7.868 6.958 11.025
Ta 1.372 4.585 0.718
Ta 0.863 7.344 7.115
Ta 7.315 0.609 5.678
Ta 6.806 3.367 12.075
P 0.451 0.512 4.989
P -0.058 3.465 11.386
P 1.792 5.214 6.775
P 2.302 6.715 0.378
P 2.234 0.604 8.578
P 2.743 3.373 2.181
P 5.435 4.580 10.613
P 5.944 7.349 4.216
P 5.876 1.237 12.416
P 6.385 2.739 6.019
P 8.236 4.488 1.408
P 7.726 7.441 7.805
```

Record 15
This record from Alexandria describes a relaxed structure of PmNi3Sb3. The functional is GGA-PBE.

Calculated values
Its total magnetic moment is 0.0 Bohr magnetons per cell. For the uncorrected formation energy, the calculation gives -0.14 eV/atom.

```
14
Lattice="6.876 0.000 0.000 0.000 6.876 0.000 0.000 0.000 6.876" Properties=species:S:1:pos:R:3 pbc="T T T"
Pm 0.000 0.000 0.000
Pm 3.438 3.438 3.438
Ni 0.000 1.719 3.438
Ni 0.000 5.157 3.438
Ni 1.719 3.438 0.000
Ni 3.438 0.000 1.719
Ni 3.438 0.000 5.157
Ni 5.157 3.438 0.000
Sb 0.000 3.438 1.719
Sb 0.000 3.438 5.157
Sb 1.719 0.000 3.438
Sb 3.438 1.719 0.000
Sb 3.438 5.157 0.000
Sb 5.157 0.000 3.438
```

Record 16
This record from Alexandria describes a relaxed structure of Na4PuPa3N8. The functional is GGA-PBE.

Calculated values
Its total magnetic moment is 3.0 Bohr magnetons per cell. For the uncorrected formation energy, the calculation gives -1.11 eV/atom.

```
16
Lattice="3.568 2.060 5.670 -3.568 2.060 5.670 0.000 -4.120 5.670" Properties=species:S:1:pos:R:3 pbc="T T T"
Na 0.000 0.000 0.000
Na -1.784 -1.030 5.670
Na -1.784 1.030 11.340
Na 0.000 2.060 5.670
Pu 0.000 0.000 8.505
Pa -3.568 0.000 8.505
Pa -1.784 1.030 2.835
Pa 1.784 1.030 2.835
N 0.000 0.000 3.861
N -1.763 -1.018 9.527
N 0.000 -2.035 7.483
N -1.763 1.018 7.483
N 1.763 -1.018 9.527
N 0.000 2.035 9.527
N 1.763 1.018 7.483
N 0.000 0.000 13.149
```

Record 17
This record from Alexandria describes a relaxed structure of Hf8MoPb2. The functional is GGA-PBE.

Calculated values
As for the total DFT energy (no corrections): -97.4 eV for the cell shown. Its total magnetic moment is 0.0 Bohr magnetons per cell.

```
11
Lattice="-2.526 3.366 7.210 2.526 -3.366 7.210 2.526 3.366 -7.210" Properties=species:S:1:pos:R:3 pbc="T T T"
Hf 2.526 1.778 -1.932
Hf 0.000 0.000 2.481
Hf 0.000 1.711 0.000
Hf 2.526 1.778 1.932
Hf 0.000 1.588 5.278
Hf 0.000 5.021 0.000
Hf 0.000 0.000 11.939
Hf 0.000 1.588 9.142
Mo 2.526 0.000 0.000
Pb 2.526 0.000 4.508
Pb 0.000 3.366 2.702
```

Record 18
This record from Alexandria describes a relaxed structure of MgTl2Pb4. The functional is GGA-PBE.

Calculated values
As for the total DFT energy (no corrections): -21.2 eV for the cell shown. Its total magnetic moment is 0.0 Bohr magnetons per cell.

```
7
Lattice="1.760 -17.382 0.000 1.760 17.382 0.000 0.000 0.000 3.470" Properties=species:S:1:pos:R:3 pbc="T T T"
Mg 0.000 0.000 0.000
Tl 1.760 7.206 1.735
Tl 1.760 -7.206 1.735
Pb 1.760 12.708 0.000
Pb 1.760 2.109 1.735
Pb 1.760 -2.109 1.735
Pb 1.760 -12.708 0.000
```

Record 19
This record from Alexandria describes a relaxed structure of SbPbIO2. The functional is GGA-PBE.

Calculated values
Its total magnetic moment is 0.0 Bohr magnetons per cell. For the uncorrected formation energy, the calculation gives -1.06 eV/atom.

```
5
Lattice="-1.988 1.988 7.010 1.988 -1.988 7.010 1.988 1.988 -7.010" Properties=species:S:1:pos:R:3 pbc="T T T"
Sb 0.000 0.000 0.000
Pb 0.000 0.000 4.586
I 0.000 0.000 9.457
O 1.988 0.000 6.069
O 0.000 1.988 6.069
```

Record 20
This record from Alexandria describes a relaxed structure of Sc4InCu2Ru. The functional is GGA-PBE.

Calculated values
As for the total DFT energy (no corrections): -48.8 eV for the cell shown. Its total magnetic moment is 0.0 Bohr magnetons per cell.

```
8
Lattice="2.355 1.359 7.714 -2.355 1.359 7.714 0.000 -2.719 7.714" Properties=species:S:1:pos:R:3 pbc="T T T"
Sc 0.000 0.000 2.663
Sc 0.000 0.000 8.512
Sc 0.000 0.000 14.629
Sc 0.000 0.000 20.478
In 0.000 0.000 11.571
Cu 0.000 0.000 5.683
Cu 0.000 0.000 17.458
Ru 0.000 0.000 0.000
```